# 1
! Bi6IrRh3 PBE relaxed; values from VASP
&SYSTEM
  ibrav = 0, nat = 20, ntyp = 3
/
ATOMIC_SPECIES
Bi 208.98 Bi.upf
Ir 192.22 Ir.upf
Rh 102.91 Rh.upf
ATOMIC_POSITIONS angstrom
Bi -1.2648 0.1205 2.4475
Bi -4.8903 3.2075 7.3452
Bi -2.3965 1.0076 5.7601
Bi 1.2290 2.3204 0.8624
Bi -1.2349 4.3360 5.7646
Bi 2.3906 5.6480 0.8669
Bi -2.3633 1.0080 8.9285
Bi 1.2622 2.3200 4.0308
Bi -1.2017 4.3356 8.9330
Bi 2.4237 5.6485 4.0353
Bi 4.9176 3.4485 2.4502
Bi 1.2921 6.5356 7.3479
Ir 0.0136 0.0000 4.8977
Ir 3.6391 3.3280 0.0000
Rh 0.0000 0.0000 0.0000
Rh -3.6255 3.3280 4.8977
Rh 0.2350 4.4430 2.4500
Rh -3.3905 5.5411 7.3478
Rh 3.4178 1.1150 2.4477
Rh -0.2077 2.2130 7.3454
CELL_PARAMETERS angstrom
7.2783 0.0000 0.0000
0.0000 6.6561 0.0000
-7.2510 0.0000 9.7954
! * symmetry: No. 14
! * formation enthalpy at 0 K: -0.06 eV/atom
! * mass density: 12.28 g/cm³



# 2
! Bi6IrRh PBE relaxed; values from VASP
&SYSTEM
  ibrav = 0, nat = 16, ntyp = 3
/
ATOMIC_SPECIES
Bi 208.98 Bi.upf
Ir 192.22 Ir.upf
Rh 102.91 Rh.upf
ATOMIC_POSITIONS angstrom
Bi -2.3329 1.5452 4.6005
Bi 5.8293 3.2943 1.0906
Bi 1.0947 3.2943 5.8378
Bi -2.3329 -1.5452 4.6005
Bi 3.4987 0.0000 1.2297
Bi 1.2477 0.0000 3.5076
Bi 5.6763 0.0000 3.4209
Bi 3.4254 0.0000 5.6988
Bi 9.2569 1.5452 2.3279
Bi 5.8293 -3.2943 1.0906
Bi 1.0947 -3.2943 5.8378
Bi 9.2569 -1.5452 2.3279
Ir 0.0002 2.4481 3.4642
Ir 0.0002 -2.4481 3.4642
Rh 3.4618 2.4481 0.0000
Rh 3.4618 -2.4481 0.0000
CELL_PARAMETERS angstrom
6.9235 -4.8962 0.0000
6.9235 4.8962 0.0000
-6.9230 0.0000 6.9284
! * symmetry: No. 12
! * formation enthalpy at 0 K: -0.09 eV/atom
! * mass density: 10.95 g/cm³